DFT (PBE) results for a relaxed structure of La2Pm5DyTm.

Summary:
size of the total moment: 0.000 μB per atom
ΔH_f (0 K): 0.13 eV per atom
crystal system: orthorhombic

The structure in POSCAR format:
```
La2Pm5DyTm
1.0
-1.3296 -2.2080 -5.1020
9.2001 -4.3551 2.6893
-5.2558 -8.0941 4.8726
La Pm Dy Tm
4 10 2 2
Cartesian
1.5863 -11.8944 1.5322
-1.9135 -7.1919 3.6111
0.3320 -3.8351 1.5732
4.6897 -7.2166 -1.3010
6.4307 -4.3475 0.2057
-1.1459 -10.1031 1.4689
4.3343 -11.2789 3.7517
1.3552 -8.9309 3.5119
4.8735 -10.5982 0.1145
-1.4032 -6.5940 0.0174
3.1044 -5.5645 1.5992
-1.6416 -3.2581 -1.3642
1.7437 -4.9807 -1.5009
0.1634 -0.3286 0.0996
-4.1561 -9.9093 2.1695
4.5258 -8.2051 2.3715
1.7751 -8.5134 0.0197
3.3565 -2.2678 0.1067
```

=====

DFT (PBE) results for a relaxed structure of LaPm4DyTm2.

Summary:
size of the total moment: 0.000 μB per atom
ΔH_f (0 K): 0.02 eV per atom
crystal system: monoclinic

The structure in POSCAR format:
```
LaPm4DyTm2
1.0
5.1130 0.0000 0.0000
2.5565 5.6714 -0.5734
2.5565 -0.1705 9.2042
La Pm Dy Tm
1 4 1 2
Cartesian
0.0000 0.0000 0.0000
2.5565 0.6047 5.6656
5.1130 1.9792 7.8171
7.6695 4.8962 2.9652
5.1130 3.5217 0.8137
5.1130 2.7504 4.3154
7.6695 4.1060 6.4435
2.5565 1.3949 2.1873
```

=====

DFT (PBE) results for a relaxed structure of LaPm2Dy2Tm2.

Summary:
size of the total moment: 0.000 μB per atom
ΔH_f (0 K): 0.12 eV per atom
crystal system: monoclinic

The structure in POSCAR format:
```
LaPm2Dy2Tm2
1.0
5.9496 0.0000 0.0000
-2.9748 4.2043 2.2323
0.0000 0.8745 9.6524
La Pm Dy Tm
1 2 2 2
Cartesian
0.0000 0.4373 4.8262
2.9748 1.0260 6.6063
0.0000 4.0528 5.2785
0.0000 1.8367 8.2301
2.9748 3.2422 3.6546
2.9748 2.6162 9.9159
0.0000 2.4626 1.9688
```

=====

DFT (PBE) results for a relaxed structure of LaPm3DyTm.

Summary:
size of the total moment: 0.000 μB per atom
ΔH_f (0 K): 0.03 eV per atom
crystal system: monoclinic

The structure in POSCAR format:
```
LaPm3DyTm
1.0
5.1474 0.0000 0.0000
0.0000 8.0398 -0.7752
0.0000 -3.8569 10.1440
La Pm Dy Tm
2 6 2 2
Cartesian
3.8606 4.3265 6.5067
1.2869 -0.1436 2.8620
1.2869 3.2775 4.1391
3.8606 6.8336 -0.2566
3.8606 2.2389 1.8063
3.8606 0.9054 5.2297
1.2869 1.9440 7.5625
1.2869 -2.6507 9.6254
1.2869 -1.3936 6.2595
3.8606 5.5765 3.1092
1.2869 4.5188 0.7732
3.8606 -0.3359 8.5956
```